Entry 1:
The following is a PBE calculation of crystalline CoSeIBr2 at its relaxed geometry, from Alexandria via LeMat-Bulk.

```
CoSeIBr2
1.0
-4.0875 -2.1289 1.5548
2.0940 -0.8793 4.3010
-1.6681 4.4620 1.7243
I Co Se Br
1 1 1 2
Direct
0.5000 0.5000 0.5000
0.0000 0.0000 0.0000
0.0000 0.0000 0.5000
0.0000 0.5000 0.0000
0.5000 0.0000 0.0000
```

DOS at the Fermi energy = 6.5 states/eV/f.u.
Energy above the most stable polymorph in this dataset = 0.0000 eV/atom

=====

Entry 2:
The following is a PBE calculation of crystalline Pm9PrDy2 at its relaxed geometry, from Alexandria via LeMat-Bulk.

```
Pm9PrDy2
1.0
-0.6491 -2.5655 -4.4071
-3.7420 -2.7784 2.1686
-10.3974 10.4504 -4.5520
Pm Pr Dy
9 1 2
Direct
0.5000 0.5000 0.0000
0.5000 0.5000 0.3352
0.5000 0.5000 0.6649
0.5000 0.0000 0.1691
0.5000 0.0000 0.5000
0.5000 0.0000 0.8309
0.0000 0.5000 0.1691
0.0000 0.5000 0.5000
0.0000 0.5000 0.8309
0.0000 0.0000 0.0000
0.0000 0.0000 0.3346
0.0000 0.0000 0.6654
```

E_form = 0.02 eV per atom
DOS at the Fermi energy = 20.0 states/eV/f.u.

=====

Entry 3:
The following is a PBE calculation of crystalline CeThSiSe at its relaxed geometry, from Alexandria via LeMat-Bulk.

```
CeThSiSe
1.0
-2.2569 -3.5862 0.0624
-0.1558 -2.4657 -3.4430
4.7285 -5.4607 1.0887
Ce Th Si Se
1 1 1 1
Direct
0.6903 0.6903 0.9290
0.1981 0.1981 0.4058
0.9450 0.9450 0.1648
0.4429 0.4429 0.6712
```

DOS at the Fermi energy = 6.1 states/eV/f.u.
E = -6.769 eV/atom

=====

These records have M_tot values of 1.61 0.00 0.55 μB/cell, in the order they appear.